## P
GGA-PBE HfV2Pt2, relaxed; Fermi-level density of states = 1.469 states/eV/atom
1.0
7.633 0.000 0.000
0.000 7.633 0.000
0.000 0.000 2.741
Hf Pt V
2 4 4
direct
0.000 0.000 0.000 Hf
0.500 0.500 0.000 Hf
0.181 0.681 0.500 Pt
0.681 0.819 0.500 Pt
0.819 0.319 0.500 Pt
0.319 0.181 0.500 Pt
0.387 0.887 0.000 V
0.887 0.613 0.000 V
0.613 0.113 0.000 V
0.113 0.387 0.000 V


## Q
GGA-PBE HfV2Pt2, relaxed; Fermi-level density of states = 1.253 states/eV/atom
1.0
3.470 0.000 0.000
0.000 3.470 0.000
1.735 1.735 6.907
Hf Pt V
1 2 2
direct
0.000 0.000 0.000 Hf
0.401 0.401 0.198 Pt
0.599 0.599 0.802 Pt
0.750 0.250 0.500 V
0.250 0.750 0.500 V


So which one wins? Going from most stable to least: Q, P.